Entry from Alexandria: a geometry-optimized SrMnO3 structure (PBE with a Hubbard U).

The space group is Fd-3m (No. 227, origin choice 2) and the conventional cell measures 10.177, 10.177 and 10.177 Å, with angles of 90.00, 90.00 and 90.00 degrees. Symmetry generates all atoms from Sr at (0.000, 0.000, 0.000), Mn at (0.000, 0.000, 0.500) and O at (0.077, 0.375, 0.875).

The density is 4.8 g/cm³. For the energy, the calculation gives -6.572 eV/atom.